(1)
Material: PuTh2TcN5
Method: DFT, GGA-PBE
State: relaxed

Calculated values
Magnetization (μB/f.u.): 5.028
V (Å³ per atom): 14.798
E (eV/atom): -10.02
Formation energy from raw total energies (eV per atom): -1.00
SG: No. 140

Cell lengths 7.532, 7.532, 7.532 Å; angles 126.62, 126.62, 78.88 degrees
Fractional coordinates of all 18 atoms:
1 Pu 0.250 0.250 0.000
2 Pu 0.750 0.750 0.000
3 Th 0.176 0.676 0.852
4 Th 0.324 0.176 0.500
5 Th 0.676 0.824 0.500
6 Th 0.824 0.324 0.148
7 Tc 0.250 0.750 0.500
8 Tc 0.750 0.250 0.500
9 N 0.000 0.000 0.000
10 N 0.007 0.209 0.500
11 N 0.209 0.709 0.202
12 N 0.291 0.493 0.500
13 N 0.493 0.993 0.202
14 N 0.500 0.500 0.000
15 N 0.507 0.007 0.798
16 N 0.709 0.507 0.500
17 N 0.791 0.291 0.798
18 N 0.993 0.791 0.500

***

(2)
Material: PuU2TcN4
Method: DFT, GGA-PBE
State: relaxed

Calculated values
Magnetization (μB/f.u.): 6.059
V (Å³ per atom): 13.971
E (eV/atom): -11.08
Formation energy from raw total energies (eV per atom): -1.01
SG: No. 63

Cell lengths 6.088, 6.088, 11.484 Å; angles 90.00, 90.00, 148.32 degrees
Fractional coordinates of all 16 atoms:
1 Pu 0.107 0.893 0.750
2 Pu 0.893 0.107 0.250
3 U 0.369 0.631 0.554
4 U 0.369 0.631 0.946
5 U 0.631 0.369 0.054
6 U 0.631 0.369 0.446
7 Tc 0.155 0.845 0.250
8 Tc 0.845 0.155 0.750
9 N 0.000 0.000 0.000
10 N 0.000 0.000 0.500
11 N 0.276 0.724 0.114
12 N 0.276 0.724 0.386
13 N 0.458 0.542 0.750
14 N 0.542 0.458 0.250
15 N 0.724 0.276 0.614
16 N 0.724 0.276 0.886

***

(3)
Material: Pu2VTcN5
Method: DFT, GGA-PBE
State: relaxed

Calculated values
Magnetization (μB/f.u.): 7.208
V (Å³ per atom): 11.396
E (eV/atom): -10.88
Formation energy from raw total energies (eV per atom): -0.91
SG: No. 36

Cell lengths 6.621, 6.621, 9.658 Å; angles 90.00, 90.00, 151.02 degrees
Fractional coordinates of all 18 atoms:
1 Pu 0.113 0.887 0.500
2 Pu 0.146 0.854 0.121
3 Pu 0.854 0.146 0.621
4 Pu 0.887 0.113 0.000
5 V 0.462 0.538 0.279
6 V 0.538 0.462 0.779
7 Tc 0.207 0.793 0.827
8 Tc 0.793 0.207 0.327
9 N 0.048 0.952 0.873
10 N 0.286 0.714 0.474
11 N 0.317 0.683 0.186
12 N 0.373 0.627 0.819
13 N 0.493 0.507 0.599
14 N 0.507 0.493 0.099
15 N 0.627 0.373 0.319
16 N 0.683 0.317 0.686
17 N 0.714 0.286 0.974
18 N 0.952 0.048 0.373

***

(4)
Material: Y2PuTcN4
Method: DFT, GGA-PBE
State: relaxed

Calculated values
Magnetization (μB/f.u.): 4.817
V (Å³ per atom): 14.316
E (eV/atom): -9.85
Formation energy from raw total energies (eV per atom): -0.98
SG: No. 63

Cell lengths 6.036, 6.036, 11.680 Å; angles 90.00, 90.00, 147.44 degrees
Fractional coordinates of all 16 atoms:
1 Y 0.131 0.869 0.541
2 Y 0.131 0.869 0.959
3 Y 0.869 0.131 0.041
4 Y 0.869 0.131 0.459
5 Pu 0.383 0.617 0.750
6 Pu 0.617 0.383 0.250
7 Tc 0.357 0.643 0.250
8 Tc 0.643 0.357 0.750
9 N 0.046 0.954 0.750
10 N 0.233 0.767 0.130
11 N 0.233 0.767 0.370
12 N 0.500 0.500 0.000
13 N 0.500 0.500 0.500
14 N 0.767 0.233 0.630
15 N 0.767 0.233 0.870
16 N 0.954 0.046 0.250

***

(5)
Material: Pu2ZnTcN5
Method: DFT, GGA-PBE
State: relaxed

Calculated values
Magnetization (μB/f.u.): 0.103
V (Å³ per atom): 11.774
E (eV/atom): -9.54
Formation energy from raw total energies (eV per atom): -0.43
SG: No. 36

Cell lengths 7.067, 7.067, 9.460 Å; angles 90.00, 90.00, 153.35 degrees
Fractional coordinates of all 18 atoms:
1 Pu 0.122 0.878 0.500
2 Pu 0.132 0.868 0.075
3 Pu 0.868 0.132 0.575
4 Pu 0.878 0.122 0.000
5 Zn 0.488 0.512 0.275
6 Zn 0.512 0.488 0.775
7 Tc 0.219 0.781 0.789
8 Tc 0.781 0.219 0.289
9 N 0.077 0.923 0.838
10 N 0.285 0.715 0.447
11 N 0.296 0.704 0.158
12 N 0.364 0.636 0.786
13 N 0.493 0.507 0.058
14 N 0.507 0.493 0.558
15 N 0.636 0.364 0.286
16 N 0.704 0.296 0.658
17 N 0.715 0.285 0.947
18 N 0.923 0.077 0.338

***

(6)
Material: Pu3Te3N
Method: DFT, GGA-PBE
State: relaxed

Calculated values
Magnetization (μB/f.u.): 15.000
V (Å³ per atom): 27.722
E (eV/atom): -9.78
Formation energy from raw total energies (eV per atom): -1.10
SG: No. 14

Cell lengths 7.639, 12.585, 10.554 Å; angles 90.00, 130.09, 90.00 degrees
Fractional coordinates of all 28 atoms:
1 Pu 0.136 0.025 0.260
2 Pu 0.136 0.475 0.760
3 Pu 0.137 0.116 0.606
4 Pu 0.137 0.384 0.106
5 Pu 0.361 0.654 0.332
6 Pu 0.361 0.846 0.832
7 Pu 0.639 0.154 0.168
8 Pu 0.639 0.346 0.668
9 Pu 0.863 0.616 0.894
10 Pu 0.863 0.884 0.394
11 Pu 0.864 0.525 0.240
12 Pu 0.864 0.975 0.740
13 Te 0.109 0.211 0.875
14 Te 0.109 0.289 0.375
15 Te 0.344 0.563 0.599
16 Te 0.344 0.937 0.099
17 Te 0.393 0.643 0.049
18 Te 0.393 0.857 0.549
19 Te 0.607 0.143 0.451
20 Te 0.607 0.357 0.951
21 Te 0.656 0.063 0.901
22 Te 0.656 0.437 0.401
23 Te 0.891 0.711 0.625
24 Te 0.891 0.789 0.125
25 N 0.068 0.541 0.156
26 N 0.068 0.959 0.656
27 N 0.932 0.041 0.344
28 N 0.932 0.459 0.844

***

(7)
Material: Pu2Te2N
Method: DFT, GGA-PBE
State: relaxed

Calculated values
Magnetization (μB/f.u.): 9.002
V (Å³ per atom): 25.059
E (eV/atom): -9.75
Formation energy from raw total energies (eV per atom): -1.10
SG: No. 72

Cell lengths 7.584, 7.584, 7.584 Å; angles 124.96, 74.43, 134.06 degrees
Fractional coordinates of all 10 atoms:
1 Pu 0.096 0.181 0.278
2 Pu 0.404 0.681 0.085
3 Pu 0.596 0.319 0.915
4 Pu 0.904 0.819 0.722
5 Te 0.145 0.653 0.798
6 Te 0.355 0.153 0.509
7 Te 0.645 0.847 0.491
8 Te 0.855 0.347 0.202
9 N 0.250 0.250 0.000
10 N 0.750 0.750 0.000

***

(8)
Material: Pu3Te3N
Method: DFT, GGA-PBE
State: relaxed

Calculated values
Magnetization (μB/f.u.): 15.000
V (Å³ per atom): 27.582
E (eV/atom): -9.78
Formation energy from raw total energies (eV per atom): -1.11
SG: No. 12

Cell lengths 7.486, 7.486, 7.585 Å; angles 97.43, 97.43, 111.06 degrees
Fractional coordinates of all 14 atoms:
1 Pu 0.104 0.104 0.338
2 Pu 0.143 0.437 0.781
3 Pu 0.437 0.143 0.781
4 Pu 0.563 0.857 0.219
5 Pu 0.857 0.563 0.219
6 Pu 0.896 0.896 0.662
7 Te 0.164 0.836 0.000
8 Te 0.258 0.742 0.500
9 Te 0.394 0.394 0.156
10 Te 0.606 0.606 0.844
11 Te 0.742 0.258 0.500
12 Te 0.836 0.164 0.000
13 N 0.165 0.165 0.652
14 N 0.835 0.835 0.348

***

(9)
Material: Pu4Te3N2
Method: DFT, GGA-PBE
State: relaxed

Calculated values
Magnetization (μB/f.u.): 0.916
V (Å³ per atom): 24.325
E (eV/atom): -10.39
Formation energy from raw total energies (eV per atom): -1.12
SG: No. 12

Cell lengths 7.182, 7.182, 9.101 Å; angles 118.14, 118.14, 32.37 degrees
Fractional coordinates of all 9 atoms:
1 Pu 0.128 0.128 0.422
2 Pu 0.310 0.310 0.877
3 Pu 0.690 0.690 0.123
4 Pu 0.872 0.872 0.578
5 Te 0.000 0.000 0.000
6 Te 0.389 0.389 0.284
7 Te 0.611 0.611 0.716
8 N 0.307 0.307 0.631
9 N 0.693 0.693 0.369

***

(10)
Material: Pu5Te5N
Method: DFT, GGA-PBE
State: relaxed

Calculated values
Magnetization (μB/f.u.): 5.360
V (Å³ per atom): 29.495
E (eV/atom): -9.55
Formation energy from raw total energies (eV per atom): -0.85
SG: No. 12

Cell lengths 7.409, 7.409, 8.425 Å; angles 108.41, 108.41, 48.39 degrees
Fractional coordinates of all 11 atoms:
1 Pu 0.000 0.000 0.000
2 Pu 0.354 0.354 0.136
3 Pu 0.362 0.362 0.724
4 Pu 0.638 0.638 0.276
5 Pu 0.646 0.646 0.864
6 Te 0.154 0.154 0.806
7 Te 0.185 0.185 0.339
8 Te 0.500 0.500 0.500
9 Te 0.815 0.815 0.661
10 Te 0.846 0.846 0.194
11 N 0.500 0.500 0.000

***

(11)
Material: Pu4Te3N
Method: DFT, GGA-PBE
State: relaxed

Calculated values
Magnetization (μB/f.u.): 22.898
V (Å³ per atom): 27.245
E (eV/atom): -10.34
Formation energy from raw total energies (eV per atom): -0.95
SG: No. 65

Cell lengths 7.487, 7.487, 4.180 Å; angles 90.00, 90.00, 111.52 degrees
Fractional coordinates of all 8 atoms:
1 Pu 0.188 0.812 0.000
2 Pu 0.213 0.213 0.500
3 Pu 0.787 0.787 0.500
4 Pu 0.812 0.188 0.000
5 Te 0.000 0.500 0.500
6 Te 0.500 0.000 0.500
7 Te 0.500 0.500 0.000
8 N 0.000 0.000 0.000

***

(12)
Material: Pu3TeN
Method: DFT, GGA-PBE
State: relaxed

Calculated values
Magnetization (μB/f.u.): 17.963
V (Å³ per atom): 22.885
E (eV/atom): -11.64
Formation energy from raw total energies (eV per atom): -0.74
SG: No. 221

Cell lengths 4.855, 4.855, 4.855 Å; angles 90.00, 90.00, 90.00 degrees
Fractional coordinates of all 5 atoms:
1 Pu 0.000 0.000 0.500
2 Pu 0.000 0.500 0.000
3 Pu 0.500 0.000 0.000
4 Te 0.500 0.500 0.500
5 N 0.000 0.000 0.000